Pr8TePb5 | GGA-PBE | relaxed

Output
E = -4.972 eV/atom
Density = 8.24 g cm⁻³

The structure in POSCAR format:
```
Pr8TePb5
1.0
-4.8699 4.8699 4.8677
4.8699 -4.8699 4.8677
4.8699 4.8699 -4.8677
Pr Te Pb
8 1 5
Direct
0.0140 0.1236 0.7493
0.2354 0.4824 0.6094
0.3743 0.2647 0.2507
0.3741 0.7646 0.2471
0.5176 0.1270 0.7529
0.7353 0.9860 0.1096
0.8730 0.6259 0.3906
0.8764 0.6257 0.8904
0.5000 0.5000 0.0000
0.0002 0.3766 0.1258
0.1256 0.9998 0.3764
0.2508 0.8744 0.8742
0.6234 0.7492 0.6236
0.7500 0.2500 0.5000
```